Entry 1:
Compound: ZnB2W2
Source: Alexandria
Functional: PBE
Structure: optimized geometry

As for the total energy: -8.161 eV per atom. The value obtained for the total moment is 0.000 μB per atom. For the volume, the calculation gives 11.12 Å³/atom. As for the density: 13.58 g cm⁻³.

Cell: 5.898 5.898 3.196 Å, 90.00 90.00 90.00°
Space group P4/mbm (No. 127)
One atom of each set of equivalent atoms:
Zn 0.000 0.000 0.000 (multiplicity 2)
B 0.110 0.390 0.000 (multiplicity 4)
W 0.173 0.673 0.500 (multiplicity 4)



Entry 2:
Compound: ZrZnB2W
Source: Alexandria
Functional: PBE
Structure: optimized geometry

As for the total energy: -5.159 eV per atom. The value obtained for the total moment is 0.000 μB per atom. For the volume, the calculation gives 16.55 Å³/atom. As for the density: 7.27 g cm⁻³.

Cell: 4.131 4.131 4.849 Å, 90.00 90.00 90.00°
Space group P4/mmm (No. 123)
One atom of each set of equivalent atoms:
Zr 0.000 0.000 0.000 (multiplicity 1)
Zn 0.000 0.000 0.500 (multiplicity 1)
B 0.000 0.500 0.000 (multiplicity 2)
W 0.500 0.500 0.500 (multiplicity 1)



Entry 3:
Compound: ZrBW3
Source: Alexandria
Functional: PBE
Structure: optimized geometry

As for the relative energy among the computed polymorphs: 0 meV/atom. As for the total energy: -10.655 eV per atom. The value obtained for the total moment is 0.000 μB per atom. For the volume, the calculation gives 15.98 Å³/atom. As for the density: 13.59 g cm⁻³.

Cell: 4.307 4.307 4.307 Å, 90.00 90.00 90.00°
Space group Pm-3m (No. 221)
One atom of each set of equivalent atoms:
Zr 0.000 0.000 0.000 (multiplicity 1)
B 0.500 0.500 0.500 (multiplicity 1)
W 0.000 0.500 0.500 (multiplicity 3)



Entry 4:
Compound: ZrBW3
Source: Alexandria
Functional: PBE
Structure: optimized geometry

As for the relative energy among the computed polymorphs: 3350 meV/atom. As for the total energy: -7.305 eV per atom. The value obtained for the total moment is 0.000 μB per atom. For the volume, the calculation gives 22.12 Å³/atom. As for the density: 9.81 g cm⁻³.

Cell: 4.800 4.800 4.800 Å, 90.00 90.00 90.00°
Space group Pm-3m (No. 221)
One atom of each set of equivalent atoms:
Zr 0.000 0.000 0.000 (multiplicity 1)
B 0.500 0.500 0.500 (multiplicity 1)
W 0.000 0.000 0.500 (multiplicity 3)



Short version: formation enthalpy at 0 K = -0.054; 2.067; 0.162; 3.512 eV/atom, in the order given.